[1]
An optimized crystal structure of Dy2Pu2Tl3. Source: Alexandria via LeMat-Bulk, functional PBE.

Unit cell a=11.8854 b=11.8854 c=3.4301 alpha=90.00 beta=90.00 gamma=157.17
With the nearest neighbours (Å) after each atom.
Fractional coordinates of all 7 atoms:
Dy 0.0735 0.9265 0.0000  1 Pu 3.26, 8 Tl 3.38, 3 Dy 3.42-3.43
Dy 0.9265 0.0735 0.0000  1 Pu 3.26, 8 Tl 3.38, 3 Dy 3.42-3.43
Pu 0.2132 0.7868 0.0000  2 Pu 2.91, 1 Dy 3.26
Pu 0.7868 0.2132 0.0000  2 Pu 2.91, 1 Dy 3.26
Tl 0.3524 0.6476 0.5000  6 Pu 3.29-3.67, 4 Dy 3.38, 3 Tl 3.43-3.44
Tl 0.5000 0.5000 0.5000  8 Dy 3.38, 4 Tl 3.43-3.44
Tl 0.6476 0.3524 0.5000  6 Pu 3.29-3.67, 4 Dy 3.38, 3 Tl 3.43-3.44

Values from the calculation:
Formation energy (eV/atom): -0.10

=====

[2]
An optimized crystal structure of DyPaTeN2. Source: Alexandria via LeMat-Bulk, functional PBE.

Unit cell a=6.8768 b=6.8768 c=6.8768 alpha=146.34 beta=146.34 gamma=48.35
With the nearest neighbours (Å) after each atom.
Fractional coordinates of all 5 atoms:
Dy 0.0000 0.0000 0.0000  4 N 2.31
Pa 0.3310 0.3310 0.0000  4 N 2.20
Te 0.6636 0.6636 0.0000  4 Dy 3.48, 4 Pa 3.51, 8 N 3.64-3.80
N 0.4060 0.9060 0.5000  2 Pa 2.20, 2 Dy 2.31
N 0.9060 0.4060 0.5000  2 Pa 2.20, 2 Dy 2.31

Values from the calculation:
Uncorrected formation energy (eV/atom): -1.717

=====

Magnetic moment / μB/f.u.: 12.54 0.00